This record from the Alexandria database describes a relaxed SrAgHgF6 crystal. The functional is PBE.

Cell: 5.274 5.274 11.412 Å, 90.00 90.00 90.00°
Element x y z (fractional)
Sr 0.500 0.500 0.166
Sr 0.000 0.000 0.666
Ag 0.500 0.500 0.500
Ag 0.000 0.000 0.000
Hg 0.500 0.500 0.833
Hg 0.000 0.000 0.333
F 0.213 0.787 0.497
F 0.787 0.213 0.497
F 0.287 0.287 0.997
F 0.713 0.713 0.997
F 0.184 0.816 0.165
F 0.816 0.184 0.165
F 0.316 0.316 0.665
F 0.684 0.684 0.665
F 0.800 0.200 0.838
F 0.200 0.800 0.838
F 0.700 0.700 0.338
F 0.300 0.300 0.338

Properties
Formation energy from raw total energies ... -2.11 eV per atom
Raw total energy ... -70.2 eV for the cell shown

This record from the Alexandria database describes a relaxed SrMoPt3 crystal. The functional is PBE.

Cell: 4.924 4.924 4.924 Å, 90.00 90.00 90.00°
Element x y z (fractional)
Sr 0.500 0.500 0.500
Mo 0.000 0.000 0.000
Pt 0.000 0.500 0.000
Pt 0.000 0.000 0.500
Pt 0.500 0.000 0.000

Properties
Excess energy over the best structure of this formula in the dataset ... 0 meV per atom
Raw total energy ... -30.2 eV for the cell shown

This record from the Alexandria database describes a relaxed YSb2TeC crystal. The functional is PBE.

Cell: 4.805 4.805 4.947 Å, 90.00 90.00 90.00°
Element x y z (fractional)
Y 0.500 0.500 0.500
Sb 0.000 0.500 0.000
Sb 0.500 0.000 0.000
C 0.000 0.000 0.000
Te 0.000 0.000 0.500

Properties
Excess energy over the best structure of this formula in the dataset ... 0 meV per atom
Formation energy from raw total energies ... 0.41 eV per atom
Raw total energy ... -25.0 eV for the cell shown

This record from the Alexandria database describes a relaxed LiCd2CF crystal. The functional is PBE.

Cell: 4.769 3.508 4.769 Å, 90.00 90.00 90.00°
Element x y z (fractional)
C 0.000 0.500 0.000
F 0.500 0.500 0.500
Li 0.000 0.000 0.000
Cd 0.000 0.000 0.500
Cd 0.500 0.000 0.000

Properties
Formation energy from raw total energies ... 0.54 eV per atom
Raw total energy ... -12.1 eV for the cell shown

This record from the Alexandria database describes a relaxed BaBe2OsN crystal. The functional is PBE.

Cell: 3.775 5.454 3.775 Å, 90.00 90.00 90.00°
Element x y z (fractional)
Be 0.000 0.000 0.500
Be 0.500 0.000 0.000
Os 0.500 0.500 0.500
Ba 0.000 0.500 0.000
N 0.000 0.000 0.000

Properties
Formation energy from raw total energies ... 1.00 eV per atom
Raw total energy ... -23.9 eV for the cell shown

This record from the Alexandria database describes a relaxed CeY5Al3 crystal. The functional is PBE.

Cell: 6.612 9.133 9.133 Å, 120.00 90.00 90.00°
Element x y z (fractional)
Ce 0.000 0.000 0.000
Ce 0.500 0.000 0.000
Y 0.000 0.667 0.333
Y 0.500 0.333 0.667
Y 0.000 0.333 0.667
Y 0.500 0.667 0.333
Y 0.750 0.673 0.673
Y 0.750 0.000 0.327
Y 0.750 0.327 0.000
Y 0.250 0.327 0.327
Y 0.250 0.000 0.673
Y 0.250 0.673 0.000
Al 0.750 0.340 0.340
Al 0.750 0.000 0.660
Al 0.750 0.660 0.000
Al 0.250 0.660 0.660
Al 0.250 0.000 0.340
Al 0.250 0.340 0.000

Properties
Raw total energy ... -103.9 eV for the cell shown